First-principles (PBEsol) data for a relaxed BaGaBi3 crystal, as listed in Alexandria via LeMat-Bulk.

Unit cell a=5.538 b=5.538 c=5.538 alpha=90.00 beta=90.00 gamma=90.00
Space group Pm-3m (No. 221)
Asymmetric unit:
Ba: 0.000 0.000 0.000 (multiplicity 1)
Ga: 0.500 0.500 0.500 (multiplicity 1)
Bi: 0.000 0.500 0.500 (multiplicity 3)

Summary:
Total magnetic moment, μB per cell: 0.0
Calculated volume, Å³/cell: 169.80
Energy relative to the elements, eV/atom: -0.133


First-principles (PBEsol) data for a relaxed BaGa2Bi2 crystal, as listed in Alexandria via LeMat-Bulk.

Unit cell a=5.074 b=5.074 c=12.136 alpha=90.00 beta=90.00 gamma=90.00
Space group I4/mmm (No. 139)
Asymmetric unit:
Ba: 0.000 0.000 0.000 (multiplicity 2)
Ga: 0.000 0.500 0.250 (multiplicity 4)
Bi: 0.000 0.000 0.367 (multiplicity 4)

Summary:
Total magnetic moment, μB per cell: 0.0
Calculated volume, Å³/cell: 312.45
Energy relative to the elements, eV/atom: -0.320


First-principles (PBEsol) data for a relaxed BaHfGaBi2 crystal, as listed in Alexandria via LeMat-Bulk.

Unit cell a=6.128 b=6.128 c=5.598 alpha=90.00 beta=90.00 gamma=90.00
Space group P4/mmm (No. 123)
Asymmetric unit:
Ba: 0.000 0.000 0.000 (multiplicity 1)
Hf: 0.000 0.000 0.500 (multiplicity 1)
Ga: 0.500 0.500 0.500 (multiplicity 1)
Bi: 0.000 0.500 0.000 (multiplicity 2)

Summary:
Total magnetic moment, μB per cell: 0.0
Calculated volume, Å³/cell: 210.24
Energy relative to the elements, eV/atom: 1.519


First-principles (PBEsol) data for a relaxed Ba2InGaBi crystal, as listed in Alexandria via LeMat-Bulk.

Unit cell a=6.603 b=6.603 c=5.650 alpha=90.00 beta=90.00 gamma=90.00
Space group P4/mmm (No. 123)
Asymmetric unit:
Ba: 0.000 0.500 0.000 (multiplicity 2)
In: 0.000 0.000 0.500 (multiplicity 1)
Ga: 0.500 0.500 0.500 (multiplicity 1)
Bi: 0.000 0.000 0.000 (multiplicity 1)

Summary:
Total magnetic moment, μB per cell: 0.0
Calculated volume, Å³/cell: 246.35
Energy relative to the elements, eV/atom: 0.109


First-principles (PBEsol) data for a relaxed BaNaGaBi2 crystal, as listed in Alexandria via LeMat-Bulk.

Unit cell a=6.301 b=6.301 c=6.027 alpha=90.00 beta=90.00 gamma=90.00
Space group P4/mmm (No. 123)
Asymmetric unit:
Ba: 0.000 0.000 0.000 (multiplicity 1)
Na: 0.500 0.500 0.500 (multiplicity 1)
Ga: 0.000 0.000 0.500 (multiplicity 1)
Bi: 0.000 0.500 0.000 (multiplicity 2)

Summary:
Total magnetic moment, μB per cell: 0.0
Calculated volume, Å³/cell: 239.26
Energy relative to the elements, eV/atom: 0.530


First-principles (PBEsol) data for a relaxed Ba2Ga11BiO20 crystal, as listed in Alexandria via LeMat-Bulk.

Unit cell a=15.601 b=11.721 c=5.114 alpha=90.00 beta=107.59 gamma=90.00
Space group Cm (No. 8)
Asymmetric unit:
Ba: 0.000 0.000 0.000 (multiplicity 2)
Ba: 0.215 0.500 0.756 (multiplicity 2)
Ga: 0.000 0.364 0.507 (multiplicity 4)
Ga: 0.138 0.288 0.162 (multiplicity 4)
Ga: 0.149 0.137 0.656 (multiplicity 4)
Ga: 0.355 0.363 0.348 (multiplicity 4)
Ga: 0.365 0.213 0.845 (multiplicity 4)
Ga: 0.495 0.000 0.015 (multiplicity 2)
Bi: 0.290 0.000 0.339 (multiplicity 2)
O: 0.059 0.500 0.399 (multiplicity 2)
O: 0.067 0.381 0.895 (multiplicity 4)
O: 0.083 0.251 0.429 (multiplicity 4)
O: 0.102 0.000 0.514 (multiplicity 2)
O: 0.153 0.146 0.018 (multiplicity 4)
O: 0.238 0.369 0.344 (multiplicity 4)
O: 0.265 0.133 0.623 (multiplicity 4)
O: 0.354 0.354 0.986 (multiplicity 4)
O: 0.408 0.500 0.471 (multiplicity 2)
O: 0.417 0.116 0.129 (multiplicity 4)
O: 0.423 0.253 0.588 (multiplicity 4)
O: 0.425 0.000 0.619 (multiplicity 2)

Summary:
Formation energy (no corrections), eV per atom: -2.00
Total magnetic moment, μB per cell: 0.1
Calculated volume, Å³/cell: 891.52


First-principles (PBEsol) data for a relaxed Ba2GaBiS5 crystal, as listed in Alexandria via LeMat-Bulk.

Unit cell a=12.067 b=8.865 c=8.833 alpha=90.00 beta=90.00 gamma=90.00
Space group Pnma (No. 62)
Asymmetric unit:
Ba: 0.178 0.009 0.115 (multiplicity 8)
Ga: 0.094 0.750 0.829 (multiplicity 4)
Bi: 0.014 0.750 0.455 (multiplicity 4)
S: 0.007 0.250 0.962 (multiplicity 4)
S: 0.053 0.548 0.675 (multiplicity 8)
S: 0.217 0.750 0.370 (multiplicity 4)
S: 0.223 0.250 0.380 (multiplicity 4)

Summary:
Formation energy (no corrections), eV per atom: -1.32
Total magnetic moment, μB per cell: 0.0
Calculated volume, Å³/cell: 944.82


First-principles (PBEsol) data for a relaxed Ba2GaBiSe5 crystal, as listed in Alexandria via LeMat-Bulk.

Unit cell a=12.592 b=9.155 c=9.161 alpha=90.00 beta=90.00 gamma=90.00
Space group Pnma (No. 62)
Asymmetric unit:
Ba: 0.177 0.008 0.116 (multiplicity 8)
Ga: 0.097 0.750 0.834 (multiplicity 4)
Bi: 0.021 0.750 0.461 (multiplicity 4)
Se: 0.009 0.250 0.954 (multiplicity 4)
Se: 0.057 0.541 0.678 (multiplicity 8)
Se: 0.217 0.250 0.384 (multiplicity 4)
Se: 0.223 0.750 0.370 (multiplicity 4)

Summary:
Formation energy (no corrections), eV per atom: -1.23
Total magnetic moment, μB per cell: 0.0
Calculated volume, Å³/cell: 1056.04


First-principles (PBEsol) data for a relaxed Ba2GaBiTe5 crystal, as listed in Alexandria via LeMat-Bulk.

Unit cell a=13.503 b=9.630 c=9.732 alpha=90.00 beta=90.00 gamma=90.00
Space group Pnma (No. 62)
Asymmetric unit:
Ba: 0.176 0.007 0.116 (multiplicity 8)
Ga: 0.101 0.750 0.837 (multiplicity 4)
Bi: 0.027 0.750 0.467 (multiplicity 4)
Te: 0.009 0.250 0.948 (multiplicity 4)
Te: 0.060 0.532 0.680 (multiplicity 8)
Te: 0.209 0.250 0.388 (multiplicity 4)
Te: 0.229 0.750 0.369 (multiplicity 4)

Summary:
Formation energy (no corrections), eV per atom: -0.94
Total magnetic moment, μB per cell: 0.0
Calculated volume, Å³/cell: 1265.56


First-principles (PBEsol) data for a relaxed Ba2GdBiO6 crystal, as listed in Alexandria via LeMat-Bulk.

Unit cell a=8.657 b=8.657 c=8.657 alpha=90.00 beta=90.00 gamma=90.00
Space group Fm-3m (No. 225)
Asymmetric unit:
Ba: 0.250 0.250 0.250 (multiplicity 8)
Gd: 0.000 0.000 0.000 (multiplicity 4)
Bi: 0.000 0.000 0.500 (multiplicity 4)
O: 0.000 0.000 0.257 (multiplicity 24)

Summary:
Formation energy (no corrections), eV per atom: -2.42
Total magnetic moment, μB per cell: 28.0
Calculated volume, Å³/cell: 648.84


First-principles (PBEsol) data for a relaxed BaBi2H crystal, as listed in Alexandria via LeMat-Bulk.

Unit cell a=9.818 b=9.818 c=9.818 alpha=90.00 beta=90.00 gamma=90.00
Space group Fd-3m (No. 227, origin choice 2)
Asymmetric unit:
Ba: 0.125 0.125 0.125 (multiplicity 8)
Bi: 0.000 0.000 0.500 (multiplicity 16)
H: 0.125 0.125 0.625 (multiplicity 8)

Summary:
Total magnetic moment, μB per cell: 0.0
Calculated volume, Å³/cell: 946.40
Final energy, eV per atom: -3.673


First-principles (PBEsol) data for a relaxed BaHfBiSb2 crystal, as listed in Alexandria via LeMat-Bulk.

Unit cell a=5.931 b=5.931 c=5.397 alpha=90.00 beta=90.00 gamma=90.00
Space group P4/mmm (No. 123)
Asymmetric unit:
Ba: 0.000 0.000 0.000 (multiplicity 1)
Hf: 0.500 0.500 0.000 (multiplicity 1)
Bi: 0.500 0.500 0.500 (multiplicity 1)
Sb: 0.000 0.500 0.500 (multiplicity 2)

Summary:
Formation energy (no corrections), eV per atom: 0.48
Total magnetic moment, μB per cell: 0.0
Calculated volume, Å³/cell: 189.87


> Which value of calculated volume does entry 12 give?

189.87 Å³/cell


> Which formula does entry 4 have?

Ba2InGaBi


> Which value of calculated volume does entry 1 give?

169.80 Å³/cell


What did the second record say?
First-principles (PBEsol) data for a relaxed BaGa2Bi2 crystal, as listed in Alexandria via LeMat-Bulk.

Unit cell a=5.074 b=5.074 c=12.136 alpha=90.00 beta=90.00 gamma=90.00
Space group I4/mmm (No. 139)
Asymmetric unit:
Ba: 0.000 0.000 0.000 (multiplicity 2)
Ga: 0.000 0.500 0.250 (multiplicity 4)
Bi: 0.000 0.000 0.367 (multiplicity 4)

Summary:
Total magnetic moment, μB per cell: 0.0
Calculated volume, Å³/cell: 312.45
Energy relative to the elements, eV/atom: -0.320